# GaPdF2 | the Alexandria database | PBE | relaxed
# Energy above the lowest structure with this stoichiometry ... 198 meV/atom
# Size of the total moment ... 1.14 Bohr magnetons per cell
# Density of states at the Fermi level ... 1.52 states/eV per atom
# ΔE_f (raw) ... -0.895 eV per atom
data_GaPdF2
_chemical_formula_sum 'Ga4 Pd4 F8'
_symmetry_space_group_name_H-M 'F m -3 m'
_symmetry_Int_Tables_number 225
_symmetry_space_group_name_Hall '-F 4 2 3'
_cell_length_a 5.957
_cell_length_b 5.957
_cell_length_c 5.957
_cell_angle_alpha 90.00
_cell_angle_beta 90.00
_cell_angle_gamma 90.00
loop_
_atom_site_label
_atom_site_type_symbol
_atom_site_fract_x
_atom_site_fract_y
_atom_site_fract_z
Ga1 Ga 0.000 0.000 0.000
Pd1 Pd 0.000 0.000 0.500
F1 F 0.250 0.250 0.250